A geometry-optimized SrBePt3 structure, computed with PBE-GGA.

Structure (POSCAR):
```
SrBePt3
1.0
-4.6475 -2.1720 0.7991
2.2498 -4.6603 0.4179
0.5425 0.7203 5.1129
Pt Sr Be
3 1 1
Direct
0.5000 0.0000 0.0000
0.0000 0.5000 0.0000
0.0000 0.0000 0.5000
0.0000 0.0000 0.0000
0.5000 0.5000 0.5000
```

The calculation puts the density of states at the Fermi level at 3.68 states/eV per cell. The polymorph energy (0 for the lowest one) comes out at 2637 meV per atom. Its magnetization is 0.00 Bohr magnetons per cell. The space group is Pm-3m, No. 221. The crystal system is cubic.